# 1
Compound: CaAl9Ni
Source: Alexandria via LeMat-Bulk
Functional: GGA-PBE
Structure: relaxed

abc: 7.5711 7.5711 7.9470
angles: 90.00 90.00 120.00
Closest atoms and distances in Å follow each position.
Space group P6_3/mmc (No. 194)
Inequivalent atoms, fractional coordinates:
Ca  0.0000  0.0000  0.2500  12 Al 3.30-3.45
Al  0.0471  0.5235  0.2500  1 Ni 2.49, 4 Al 2.76
Al  0.2081  0.4163  0.5160  1 Ni 2.48, 4 Al 2.74-2.76
Ni  0.3333  0.6667  0.7500  9 Al 2.48-2.49

Output
The total magnetization comes out at 0.0 μB/f.u. The formation energy comes out at -243 meV/atom. The crystal system is hexagonal.



# 2
Compound: CaAl7Ni5
Source: Alexandria via LeMat-Bulk
Functional: GGA-PBE
Structure: relaxed

abc: 5.0233 8.6675 8.4846
angles: 90.00 90.00 90.00
Closest atoms and distances in Å follow each position.
Space group Imm2 (No. 44)
Inequivalent atoms, fractional coordinates:
Ca  0.0000  0.0000  0.0000  10 Al 2.85-3.19, 2 Ni 3.18
Al  0.0000  0.0000  0.3496  4 Ni 2.58, 5 Al 2.67-2.81
Al  0.0000  0.0000  0.6642  6 Ni 2.67, 3 Al 2.67-2.92, 1 Ca 2.85
Al  0.0000  0.2922  0.4921  5 Ni 2.44-2.60, 1 Al 2.72
Al  0.0000  0.3447  0.0190  5 Ni 2.52-2.69, 4 Al 2.69-2.79
Al  0.0000  0.5000  0.7317  4 Ni 2.43, 4 Al 2.70-2.72
Ni  0.0000  0.5000  0.2707  6 Al 2.52-2.67, 4 Ni 2.59
Ni  0.2472  0.2592  0.7522  7 Al 2.43-2.69, 3 Ni 2.48-2.59

Output
The total magnetization comes out at 0.0 μB/f.u. The formation energy comes out at -521 meV/atom. The crystal system is orthorhombic.



# 3
Compound: CaAlNi2
Source: Alexandria via LeMat-Bulk
Functional: GGA-PBE
Structure: relaxed

abc: 9.4576 2.9375 4.7497
angles: 90.00 105.27 90.00
Closest atoms and distances in Å follow each position.
Space group Cm (No. 8)
Inequivalent atoms, fractional coordinates:
Ca  0.0000  0.0000  0.0000  7 Ni 2.74-2.91, 2 Ca 2.94, 1 Al 3.01
Al  0.2115  0.0000  0.6240  4 Ni 2.48-2.53
Ni  0.2693  0.5000  0.2477  2 Al 2.48, 2 Ni 2.54, 1 Ca 2.74
Ni  0.4853  0.0000  0.4968  3 Al 2.53-2.81, 2 Ni 2.54, 4 Ca 2.78-2.81

Output
The total magnetization comes out at 0.0 μB/f.u. The formation energy comes out at -117 meV/atom. The crystal system is monoclinic.



# 4
Compound: Ca2AlNi
Source: Alexandria via LeMat-Bulk
Functional: GGA-PBE
Structure: relaxed

abc: 3.7141 3.7141 25.7254
angles: 90.00 90.00 120.00
Closest atoms and distances in Å follow each position.
Space group R-3m (No. 166, hexagonal axes)
Inequivalent atoms, fractional coordinates:
Ca  0.0000  0.0000  0.2356  3 Ni 2.78
Al  0.0000  0.0000  0.0000  6 Ca 3.31
Ni  0.0000  0.0000  0.5000  6 Ca 2.78

Output
The total magnetization comes out at 0.0 μB/f.u. The formation energy comes out at 138 meV/atom. The crystal system is trigonal.



# 5
Compound: Ca2Al3Ni
Source: Alexandria via LeMat-Bulk
Functional: GGA-PBE
Structure: relaxed

abc: 9.4218 5.5655 5.4567
angles: 90.00 124.44 90.00
Closest atoms and distances in Å follow each position.
Space group C2/m (No. 12)
Inequivalent atoms, fractional coordinates:
Ca  0.1264  0.0000  0.3741  9 Al 3.18-3.25, 3 Ni 3.23-3.25, 4 Ca 3.36-3.38
Al  0.0000  0.5000  0.5000  2 Ni 2.73, 4 Al 2.77
Al  0.2500  0.2500  0.0000  2 Ni 2.74, 4 Al 2.77-2.78
Ni  0.0000  0.5000  0.0000  6 Al 2.73-2.74

Output
The total magnetization comes out at 0.0 μB/f.u. The formation energy comes out at -340 meV/atom. The crystal system is monoclinic.



# 6
Compound: Ca2AlNi
Source: Alexandria via LeMat-Bulk
Functional: GGA-PBE
Structure: relaxed

abc: 4.5242 4.0710 5.9265
angles: 90.00 112.37 90.00
Closest atoms and distances in Å follow each position.
Space group Pm (No. 6)
Inequivalent atoms, fractional coordinates:
Ca  0.0000  0.0000  0.0000  3 Ni 3.19-3.23, 4 Al 3.21
Ca  0.2896  0.5000  0.5797  3 Al 3.11-3.34, 4 Ni 3.18
Al  0.5943  0.5000  0.1888  2 Ni 2.37
Ni  0.7057  0.0000  0.4112  2 Al 2.37

Output
The total magnetization comes out at 0.0 μB/f.u. The formation energy comes out at -201 meV/atom. The crystal system is monoclinic.



# 7
Compound: CaAl3Ni
Source: Alexandria via LeMat-Bulk
Functional: GGA-PBE
Structure: relaxed

abc: 6.7797 4.0332 6.9649
angles: 90.00 106.81 90.00
Closest atoms and distances in Å follow each position.
Space group P2_1/m (No. 11)
Inequivalent atoms, fractional coordinates:
Ca  0.1908  0.2500  0.1724  2 Ni 3.04, 8 Al 3.10-3.30
Al  0.0936  0.2500  0.6427  1 Ni 2.38
Al  0.3535  0.7500  0.5204  3 Ni 2.47-2.49, 1 Al 2.66
Al  0.3557  0.7500  0.9035  3 Ni 2.46-2.53, 1 Al 2.66
Ni  0.4597  0.2500  0.7359  7 Al 2.38-2.53

Output
The total magnetization comes out at 0.0 μB/f.u. The formation energy comes out at -441 meV/atom. The crystal system is monoclinic.



> What is the formula in the fourth record?

Ca2AlNi